Mg2TaAu, relaxed, DFT PBE-GGA; distance to the lowest polymorph of the same formula = 169 meV per atom; uncorrected energy = -4.5122 eV/atom; SG = P4/mmm (123)
1.0
4.1548 0.0000 0.0000
0.0000 4.1574 0.0000
0.0000 0.0000 4.2370
Mg Au Ta
2 1 1
direct
0.5000 0.5000 0.0000
0.0000 0.0000 0.0000
0.0000 0.5000 0.5000
0.5000 0.0000 0.5000